A relaxed Ba3TbNd3Se8 crystal. Source: Alexandria, functional PBE-GGA.

The formation energy without anion corrections is -29.106 eV per formula unit. The calculation puts the magnetization at 0.0 Bohr magnetons per cell.

The space group is R-3m (No. 166, hexagonal axes) and the conventional cell measures 8.6399, 8.6399 and 22.6955 Å, with angles of 90.00, 90.00 and 120.00 degrees. Symmetry generates all atoms from Ba at (0.0000, 0.5000, 0.0000), Tb at (0.0000, 0.0000, 0.5000), Nd at (0.0000, 0.5000, 0.5000), Se at (0.0000, 0.0000, 0.2411) and Se at (0.0072, 0.5036, 0.2385).


A relaxed Os3RhI crystal. Source: Alexandria, functional PBE-GGA.

The formation energy without anion corrections is 12.870 eV per formula unit. The calculation puts the magnetization at 0.0 Bohr magnetons per cell.

The space group is Pm-3m (No. 221) and the conventional cell measures 4.7418, 4.7418 and 4.7418 Å, with angles of 90.00, 90.00 and 90.00 degrees. Symmetry generates all atoms from Os at (0.0000, 0.0000, 0.5000), Rh at (0.0000, 0.0000, 0.0000) and I at (0.5000, 0.5000, 0.5000).


A relaxed Pr2DyPuSb4 crystal. Source: Alexandria, functional PBE-GGA.

The formation energy without anion corrections is -8.140 eV per formula unit. The calculation puts the magnetization at 5.0 Bohr magnetons per cell.

The space group is P2/m (No. 10) and the conventional cell measures 7.7546, 4.4912 and 7.7560 Å, with angles of 90.00, 109.47 and 90.00 degrees. Symmetry generates all atoms from Pr at (0.0000, 0.0000, 0.0000), Pr at (0.0000, 0.5000, 0.5000), Dy at (0.5000, 0.0000, 0.5000), Pu at (0.5000, 0.5000, 0.0000), Sb at (0.2607, 0.0000, 0.7532) and Sb at (0.2609, 0.5000, 0.2541).


A relaxed La4GeAuN crystal. Source: Alexandria, functional PBE-GGA.

The formation energy without anion corrections is -6.047 eV per formula unit. The calculation puts the magnetization at 0.0 Bohr magnetons per cell.

The space group is Cmcm (No. 63) and the conventional cell measures 7.1402, 15.2781 and 7.1274 Å, with angles of 90.00, 90.00 and 90.00 degrees. Symmetry generates all atoms from La at (0.0000, 0.0725, 0.2500), La at (0.0000, 0.4232, 0.2500), La at (0.2500, 0.2500, 0.0000), Ge at (0.0000, 0.3763, 0.7500), Au at (0.0000, 0.1164, 0.7500) and N at (0.0000, 0.2585, 0.2500).


A relaxed NiP2Cl crystal. Source: Alexandria, functional PBE-GGA.

The formation energy without anion corrections is -0.851 eV per formula unit. The calculation puts the magnetization at 0.0 Bohr magnetons per cell.

The space group is C2/m (No. 12) and the conventional cell measures 6.4627, 3.4535 and 6.9496 Å, with angles of 90.00, 109.58 and 90.00 degrees. Symmetry generates all atoms from Ni at (0.0000, 0.0000, 0.0000), P at (0.1329, 0.5000, 0.8613) and Cl at (0.0000, 0.5000, 0.5000).


A relaxed AcEuHo crystal. Source: Alexandria, functional PBE-GGA.

The calculation puts the magnetization at 14.7 Bohr magnetons per cell. The formation energy comes out at 0.06 eV/atom.

The space group is I4mm (No. 107) and the conventional cell measures 3.8507, 3.8507 and 15.7087 Å, with angles of 90.00, 90.00 and 90.00 degrees. Symmetry generates all atoms from Ac at (0.0000, 0.0000, 0.0000), Eu at (0.0000, 0.0000, 0.6817) and Ho at (0.0000, 0.0000, 0.3435).


A relaxed Nd3Cd3Au2 crystal. Source: Alexandria, functional PBE-GGA.

The calculation puts the magnetization at 0.0 Bohr magnetons per cell. The formation energy comes out at -0.55 eV/atom.

The space group is P-62m (No. 189) and the conventional cell measures 7.8619, 7.8619 and 3.9548 Å, with angles of 90.00, 90.00 and 120.00 degrees. Symmetry generates all atoms from Nd at (0.0000, 0.4141, 0.0000), Cd at (0.0000, 0.7742, 0.5000) and Au at (0.3333, 0.6667, 0.5000).


A relaxed GaCo3Mo crystal. Source: Alexandria, functional PBE-GGA.

The calculation puts the magnetization at 4.9 Bohr magnetons per cell. The formation energy comes out at 1.16 eV/atom.

The space group is Pm-3m (No. 221) and the conventional cell measures 4.2261, 4.2261 and 4.2261 Å, with angles of 90.00, 90.00 and 90.00 degrees. Symmetry generates all atoms from Ga at (0.0000, 0.0000, 0.0000), Co at (0.0000, 0.0000, 0.5000) and Mo at (0.5000, 0.5000, 0.5000).


A relaxed LaP2Br crystal. Source: Alexandria, functional PBE-GGA.

The formation energy without anion corrections is -3.897 eV per formula unit. The calculation puts the magnetization at 0.0 Bohr magnetons per cell.

The space group is C2/m (No. 12) and the conventional cell measures 11.0285, 3.5686 and 5.2121 Å, with angles of 90.00, 99.77 and 90.00 degrees. Symmetry generates all atoms from La at (0.0000, 0.0000, 0.0000), P at (0.2389, 0.5000, 0.1296) and Br at (0.0000, 0.5000, 0.5000).


A relaxed NdSmInHg crystal. Source: Alexandria, functional PBE-GGA.

The calculation puts the magnetization at 2.7 Bohr magnetons per cell. The formation energy comes out at -0.47 eV/atom.

The space group is F-43m (No. 216) and the conventional cell measures 7.6970, 7.6970 and 7.6970 Å, with angles of 90.00, 90.00 and 90.00 degrees. Symmetry generates all atoms from Nd at (0.0000, 0.0000, 0.0000), Sm at (0.0000, 0.0000, 0.5000), In at (0.2500, 0.2500, 0.7500) and Hg at (0.2500, 0.2500, 0.2500).


A relaxed SrTc2Pb crystal. Source: Alexandria, functional PBE-GGA.

The calculation puts the magnetization at 0.0 Bohr magnetons per cell. The formation energy comes out at 1.08 eV/atom.

The space group is Cmmm (No. 65) and the conventional cell measures 3.4972, 5.1549 and 9.3872 Å, with angles of 90.00, 90.00 and 90.00 degrees. Symmetry generates all atoms from Sr at (0.0000, 0.0000, 0.0000), Tc at (0.0000, 0.5000, 0.2707) and Pb at (0.0000, 0.0000, 0.5000).


A relaxed MgSe2Br crystal. Source: Alexandria, functional PBE-GGA.

The formation energy without anion corrections is 0.542 eV per formula unit. The calculation puts the magnetization at 0.0 Bohr magnetons per cell.

The space group is Fm-3m (No. 225) and the conventional cell measures 7.0984, 7.0984 and 7.0984 Å, with angles of 90.00, 90.00 and 90.00 degrees. Symmetry generates all atoms from Mg at (0.0000, 0.0000, 0.0000), Se at (0.2500, 0.2500, 0.2500) and Br at (0.0000, 0.0000, 0.5000).


A relaxed LaTcNiGe2 crystal. Source: Alexandria, functional PBE-GGA.

The calculation puts the magnetization at 0.0 Bohr magnetons per cell. The formation energy comes out at -0.56 eV/atom.

The space group is I-4m2 (No. 119) and the conventional cell measures 4.1843, 4.1843 and 10.6553 Å, with angles of 90.00, 90.00 and 90.00 degrees. Symmetry generates all atoms from La at (0.0000, 0.0000, 0.0000), Tc at (0.0000, 0.5000, 0.2500), Ni at (0.0000, 0.5000, 0.7500) and Ge at (0.0000, 0.0000, 0.3695).


A relaxed Ca3TeP crystal. Source: Alexandria, functional PBE-GGA.

The formation energy without anion corrections is -5.601 eV per formula unit. The calculation puts the magnetization at 0.0 Bohr magnetons per cell.

The space group is C2/m (No. 12) and the conventional cell measures 12.5519, 7.2522 and 8.1760 Å, with angles of 90.00, 120.67 and 90.00 degrees. Symmetry generates all atoms from Ca at (0.0872, 0.0000, 0.2657), Ca at (0.1615, 0.2483, 0.7340), Te at (0.1236, 0.5000, 0.3688) and P at (0.1680, 0.0000, 0.0036).